The following is a GGA-PBE calculation of a relaxed structure of AcMg6Tl12, from Alexandria via LeMat-Bulk.

Cell lengths 8.942, 8.942, 8.942 Å; angles 109.47, 109.47, 109.47 degrees
Fractional coordinates of all 19 atoms:
Tl: 0.189 0.726 0.914
Tl: 0.811 0.726 0.537
Tl: 0.726 0.537 0.811
Tl: 0.726 0.914 0.189
Tl: 0.537 0.811 0.726
Tl: 0.914 0.189 0.726
Tl: 0.811 0.274 0.086
Tl: 0.274 0.463 0.189
Tl: 0.189 0.274 0.463
Tl: 0.086 0.811 0.274
Tl: 0.274 0.086 0.811
Tl: 0.463 0.189 0.274
Mg: 0.855 0.355 0.500
Mg: 0.500 0.145 0.645
Mg: 0.500 0.855 0.355
Mg: 0.645 0.500 0.145
Mg: 0.145 0.645 0.500
Mg: 0.355 0.500 0.855
Ac: 0.000 0.000 0.000

Formation energy: -0.3 eV per formula unit

The following is a GGA-PBE calculation of a relaxed structure of Cs2HoHCl6, from Alexandria via LeMat-Bulk.

Cell lengths 7.378, 7.376, 8.483 Å; angles 54.99, 54.99, 71.56 degrees
Fractional coordinates of all 10 atoms:
H: 0.500 0.500 0.000
Cl: 0.216 0.216 0.568
Cl: 0.319 0.681 0.000
Cl: 0.217 0.217 0.999
Cl: 0.681 0.319 0.000
Cl: 0.784 0.784 0.432
Cl: 0.783 0.783 0.001
Ho: 0.000 0.000 0.000
Cs: 0.750 0.250 0.500
Cs: 0.250 0.750 0.500

Final energy: -3.870 eV/atom

The following is a GGA-PBE calculation of a relaxed structure of Pm3Ag3Au2, from Alexandria via LeMat-Bulk.

Cell lengths 3.913, 7.595, 7.595 Å; angles 120.00, 90.00, 90.00 degrees
Fractional coordinates of all 8 atoms:
Au: 0.000 0.333 0.667
Au: 0.000 0.667 0.333
Pm: 0.500 0.391 0.391
Pm: 0.500 0.609 0.000
Pm: 0.500 0.000 0.609
Ag: 0.000 0.000 0.227
Ag: 0.000 0.227 0.000
Ag: 0.000 0.773 0.773

Formation energy: -4.0 eV per formula unit

The following is a GGA-PBE calculation of a relaxed structure of Na3Sm3GaS8, from Alexandria via LeMat-Bulk.

Cell lengths 7.995, 7.995, 8.142 Å; angles 119.42, 90.00, 120.00 degrees
Fractional coordinates of all 15 atoms:
Na: 0.000 0.500 0.000
Na: 0.000 0.000 0.000
Na: 0.500 0.500 0.000
Ga: 0.000 0.000 0.500
Sm: 0.000 0.500 0.500
Sm: 0.500 0.000 0.500
Sm: 0.500 0.500 0.500
S: 0.256 0.511 0.267
S: 0.776 0.553 0.285
S: 0.233 0.009 0.285
S: 0.224 0.447 0.715
S: 0.744 0.489 0.733
S: 0.776 0.009 0.285
S: 0.767 0.991 0.715
S: 0.224 0.991 0.715

Formation energy from raw total energies: -1.42 eV/atom

The following is a GGA-PBE calculation of a relaxed structure of Er2NiSn, from Alexandria via LeMat-Bulk.

Cell lengths 5.045, 5.045, 5.045 Å; angles 60.00, 60.00, 60.00 degrees
Fractional coordinates of all 4 atoms:
Sn: 0.500 0.500 0.500
Er: 0.750 0.750 0.750
Er: 0.250 0.250 0.250
Ni: 0.000 0.000 0.000

Formation energy: -1.8 eV per formula unit
Relative energy among the computed polymorphs: 0.132 eV per atom

The following is a GGA-PBE calculation of a relaxed structure of ZnSb2Ir, from Alexandria via LeMat-Bulk.

Cell lengths 4.803, 4.671, 4.686 Å; angles 59.91, 90.00, 90.00 degrees
Fractional coordinates of all 4 atoms:
Sb: 0.500 0.363 0.363
Sb: 0.000 0.879 0.880
Zn: 0.000 0.556 0.554
Ir: 0.500 0.703 0.704

Formation energy from raw total energies: -0.01 eV/atom
Relative energy among the computed polymorphs: 0.052 eV per atom

The following is a GGA-PBE calculation of a relaxed structure of AcPmSi2, from Alexandria via LeMat-Bulk.

Cell lengths 3.953, 3.953, 6.609 Å; angles 90.00, 90.00, 90.00 degrees
Fractional coordinates of all 4 atoms:
Pm: 0.500 0.500 0.000
Si: 0.000 0.000 0.188
Si: 0.000 0.000 0.812
Ac: 0.500 0.500 0.500

Formation energy from raw total energies: -0.47 eV/atom
Relative energy among the computed polymorphs: 0.175 eV per atom

The following is a GGA-PBE calculation of a relaxed structure of Tm3Zn7Ga4, from Alexandria via LeMat-Bulk.

Cell lengths 4.247, 8.068, 8.101 Å; angles 71.26, 74.80, 74.74 degrees
Fractional coordinates of all 14 atoms:
Ga: 0.347 0.524 0.781
Ga: 0.142 0.076 0.640
Ga: 0.858 0.924 0.360
Ga: 0.653 0.476 0.219
Zn: 0.498 0.185 0.819
Zn: 0.000 0.000 0.000
Zn: 0.855 0.364 0.925
Zn: 0.145 0.636 0.075
Zn: 0.347 0.790 0.517
Zn: 0.653 0.210 0.483
Zn: 0.502 0.815 0.181
Tm: 0.000 0.500 0.500
Tm: 0.297 0.202 0.203
Tm: 0.703 0.798 0.797

Formation energy: -5.7 eV per formula unit

Number 1: calculated density 8.52 Mg/m³. Number 2: calculated density 3.46 Mg/m³. Number 3: calculated density 9.79 Mg/m³. Number 4: calculated density 3.79 Mg/m³. Number 5: calculated density 9.36 Mg/m³. Number 6: calculated density 9.15 Mg/m³. Number 7: calculated density 6.89 Mg/m³. Number 8: calculated density 8.30 Mg/m³.